Entry 1:
# PBE Mn2SbTe, relaxed
# DOS at the Fermi energy   2.22 states/eV per cell
data_Mn2SbTe
_symmetry_space_group_name_H-M 'P 4/m m m'
_symmetry_Int_Tables_number 123
_symmetry_space_group_name_Hall '-P 4 2'
_cell_length_a 4.501
_cell_length_b 4.501
_cell_length_c 3.187
_cell_angle_alpha 90.00
_cell_angle_beta 90.00
_cell_angle_gamma 90.00
loop_
_atom_site_label
_atom_site_type_symbol
_atom_site_fract_x
_atom_site_fract_y
_atom_site_fract_z
Mn1 Mn 0.000 0.500 0.000
Sb1 Sb 0.000 0.000 0.500
Te1 Te 0.500 0.500 0.500


Entry 2:
# PBE Mn2SbTe, relaxed
# DOS at the Fermi energy   5.16 states/eV per cell
data_Mn2SbTe
_symmetry_space_group_name_H-M 'P n n m'
_symmetry_Int_Tables_number 58
_cell_length_a 6.588
_cell_length_b 7.265
_cell_length_c 3.806
_cell_angle_alpha 90.00
_cell_angle_beta 90.00
_cell_angle_gamma 90.00
loop_
_symmetry_equiv_pos_as_xyz
'x,y,z'
'-x,-y,-z'
'-x,-y,z'
'x,y,-z'
'x+1/2,-y+1/2,-z+1/2'
'-x+1/2,y+1/2,z+1/2'
'-x+1/2,y+1/2,-z+1/2'
'x+1/2,-y+1/2,z+1/2'
loop_
_atom_site_label
_atom_site_type_symbol
_atom_site_fract_x
_atom_site_fract_y
_atom_site_fract_z
Mn1 Mn 0.167 0.247 0.000
Sb1 Sb 0.000 0.000 0.500
Te1 Te 0.000 0.500 0.500


Entry 3:
# PBE MnSbTe, relaxed
# Energy relative to the lowest polymorph listed for this composition   153 meV/atom
# DOS at the Fermi energy   6.61 states/eV per cell
data_MnSbTe
_symmetry_space_group_name_H-M 'F m m 2'
_symmetry_Int_Tables_number 42
_symmetry_space_group_name_Hall 'F 2 -2'
_cell_length_a 4.002
_cell_length_b 5.289
_cell_length_c 14.466
_cell_angle_alpha 90.00
_cell_angle_beta 90.00
_cell_angle_gamma 90.00
loop_
_atom_site_label
_atom_site_type_symbol
_atom_site_fract_x
_atom_site_fract_y
_atom_site_fract_z
Mn1 Mn 0.000 0.000 0.000
Sb1 Sb 0.000 0.000 0.371
Te1 Te 0.000 0.000 0.625


Entry 4:
# PBE MnSb2Te, relaxed
# DOS at the Fermi energy   4.90 states/eV per cell
data_MnSb2Te
_symmetry_space_group_name_H-M 'C m m m'
_symmetry_Int_Tables_number 65
_symmetry_space_group_name_Hall '-C 2 2'
_cell_length_a 5.104
_cell_length_b 10.679
_cell_length_c 3.789
_cell_angle_alpha 90.00
_cell_angle_beta 90.00
_cell_angle_gamma 90.00
loop_
_atom_site_label
_atom_site_type_symbol
_atom_site_fract_x
_atom_site_fract_y
_atom_site_fract_z
Mn1 Mn 0.000 0.000 0.000
Sb1 Sb 0.000 0.178 0.500
Te1 Te 0.000 0.500 0.000


Calculated formation energy without anion corrections in order - 1.99 0.83 0.37 0.16 eV per formula unit